This record from Alexandria via LeMat-Bulk describes a relaxed YIn2Mo crystal. The functional is PBE.

Computed properties:
ΔE to the lowest computed polymorph: 239 meV/atom
space group: P4mm (99)
theoretical density: 7.409 g/cm3
energy of formation from the pure elements: 245 meV/atom
Fermi-level density of states: 0.9039 states/eV per atom
electronic total energy: -21.793 eV per formula unit

Cell lengths 3.216, 3.216, 8.982 Å; angles 90.00, 90.00, 90.00 degrees
Last column: magnetic moment on the atom in μB.
Atoms (fractional coordinates):
In  0.000  0.000  0.008  0.01
In  0.500  0.500  0.282  0.01
Mo  0.000  0.000  0.489  0.49
Y  0.500  0.500  0.721  0.00